Record 1
A geometry-optimized Zn3CrCu structure. Source: Alexandria via LeMat-Bulk, functional PBE.

Calculated values
- N(E_F): 4.2 states/eV/cell
- ΔE_f: 0.9219 eV per atom
- ΔE to the lowest computed polymorph: 0.000 eV per atom

a = 4.422 Å, b = 4.422 Å, c = 4.422 Å
α = 90.00°, β = 90.00°, γ = 90.00°
Last column: magnetic moment on the atom in μB.
Fractional coordinates of all 5 atoms:
Cu: 0.000 0.000 0.000  -0.02
Zn: 0.500 0.000 0.000  -0.01
Zn: 0.000 0.500 0.000  0.01
Zn: 0.000 0.000 0.500  0.01
Cr: 0.500 0.500 0.500  0.14

---

Record 2
A geometry-optimized ZnCrCu structure. Source: Alexandria via LeMat-Bulk, functional PBE.

Calculated values
- N(E_F): 2.2 states/eV/cell
- ΔE_f: 0.4930 eV per atom

a = 4.109 Å, b = 4.109 Å, c = 4.109 Å
α = 60.00°, β = 60.00°, γ = 60.00°
Last column: magnetic moment on the atom in μB.
Fractional coordinates of all 3 atoms:
Cr: 0.500 0.500 0.500  3.44
Cu: 0.750 0.750 0.750  0.09
Zn: 0.000 0.000 0.000  -0.03

---

Record 3
A geometry-optimized ZnCrCu structure. Source: Alexandria via LeMat-Bulk, functional PBE.

Calculated values
- N(E_F): 2.3 states/eV/cell
- ΔE_f: 0.2199 eV per atom

a = 2.573 Å, b = 2.573 Å, c = 6.565 Å
α = 90.00°, β = 90.00°, γ = 120.00°
Last column: magnetic moment on the atom in μB.
Fractional coordinates of all 3 atoms:
Cu: 0.667 0.333 0.330  0.01
Cr: 0.000 0.000 0.006  0.40
Zn: 0.333 0.667 0.664  0.00

---

Record 4
A geometry-optimized ZnCrCu structure. Source: Alexandria via LeMat-Bulk, functional PBE.

Calculated values
- N(E_F): 0.8 states/eV/cell
- ΔE_f: 0.2086 eV per atom

a = 4.772 Å, b = 4.772 Å, c = 4.772 Å
α = 141.70°, β = 141.70°, γ = 55.28°
Last column: magnetic moment on the atom in μB.
Fractional coordinates of all 3 atoms:
Cu: 0.331 0.331 0.000  0.12
Cr: 0.997 0.997 0.000  3.27
Zn: 0.672 0.672 0.000  -0.01

---

Repeat the first record exactly.
A geometry-optimized Zn3CrCu structure. Source: Alexandria via LeMat-Bulk, functional PBE.

Calculated values
- N(E_F): 4.2 states/eV/cell
- ΔE_f: 0.9219 eV per atom
- ΔE to the lowest computed polymorph: 0.000 eV per atom

a = 4.422 Å, b = 4.422 Å, c = 4.422 Å
α = 90.00°, β = 90.00°, γ = 90.00°
Last column: magnetic moment on the atom in μB.
Fractional coordinates of all 5 atoms:
Cu: 0.000 0.000 0.000  -0.02
Zn: 0.500 0.000 0.000  -0.01
Zn: 0.000 0.500 0.000  0.01
Zn: 0.000 0.000 0.500  0.01
Cr: 0.500 0.500 0.500  0.14